(1)
Here is Mg6FeCu after structural relaxation from Alexandria. Energies are from PBE-GGA.

ΔH_f (0 K) in eV/atom: 0.149
E above lowest polymorph in eV/atom: 0.000
SG: No. 38
N(E_F) in states/eV/cell: 5.39
Raw total energy in eV/atom: -2.617

Structure (POSCAR):
```
Mg6FeCu
1.0
3.0502 -5.2082 0.0000
3.0502 5.2082 0.0000
0.0000 0.0000 4.7604
Mg Fe Cu
6 1 1
direct
0.3540 0.1714 0.0000 Mg
0.8286 0.6460 0.0000 Mg
0.3357 0.6643 0.0000 Mg
0.1430 0.3313 0.5000 Mg
0.6687 0.8570 0.5000 Mg
0.1623 0.8377 0.5000 Mg
0.8315 0.1685 0.0000 Fe
0.6763 0.3237 0.5000 Cu
```

***

(2)
Here is MgFe2Cu after structural relaxation from Alexandria. Energies are from PBE-GGA.

ΔH_f (0 K) in eV/atom: 0.199
SG: No. 8
N(E_F) in states/eV/cell: 2.19
Raw total energy in eV/atom: -5.455

Structure (POSCAR):
```
MgFe2Cu
1.0
4.6174 -0.0445 0.2635
3.7773 2.6559 0.2635
1.0653 0.3314 4.3927
Cu Fe Mg
1 2 1
direct
0.2622 0.2622 0.2496 Cu
0.0046 0.0046 0.9760 Fe
0.7313 0.7313 0.7914 Fe
0.5019 0.5019 0.4830 Mg
```

***

(3)
Here is Mg2FeCuMo after structural relaxation from Alexandria. Energies are from PBE-GGA.

ΔH_f (0 K) in eV/atom: 1.188
SG: No. 123
N(E_F) in states/eV/cell: 3.78
Raw total energy in eV/atom: -4.128

Structure (POSCAR):
```
Mg2FeCuMo
1.0
-2.3682 -0.7279 -4.0040
-3.6196 -0.8267 2.2912
-1.1410 4.5656 -0.1551
Mg Mo Fe Cu
2 1 1 1
direct
0.0000 0.0000 0.5000 Mg
0.5000 0.0000 0.0000 Mg
0.5000 0.5000 0.5000 Mo
0.0000 0.0000 0.0000 Fe
0.0000 0.5000 0.0000 Cu
```

***

(4)
Here is MgFeCuNi after structural relaxation from Alexandria. Energies are from PBE-GGA.

ΔH_f (0 K) in eV/atom: 0.047
SG: No. 216
N(E_F) in states/eV/cell: 3.17
Raw total energy in eV/atom: -4.937

Structure (POSCAR):
```
MgFeCuNi
1.0
4.1914 0.0000 0.0000
2.0957 3.6299 0.0000
2.0957 1.2100 3.4223
Ni Mg Fe Cu
1 1 1 1
direct
0.0000 0.0000 0.0000 Ni
0.7500 0.7500 0.7500 Mg
0.2500 0.2500 0.2500 Fe
0.5000 0.5000 0.5000 Cu
```

***

> Look up the N(E_F) of the fourth one.

3.17 states/eV/cell